Material: LiPrGdMg
Method: DFT, PBE
State: optimized geometry

ΔH_f (0 K)	0.03	eV/f.u.
magnetization	2.029	μB per atom
uncorrected energy	-5.585	eV per atom

Cell lengths 5.4336, 5.4336, 5.4336 Å; angles 60.00, 60.00, 60.00 degrees
Closest atoms and distances in Å follow each position.
Sites, in units of the cell vectors:
1 Pr 0.2500 0.2500 0.2500  4 Li 3.33, 4 Mg 3.33
2 Mg 0.5000 0.5000 0.5000  4 Pr 3.33, 4 Gd 3.33
3 Gd 0.7500 0.7500 0.7500  4 Li 3.33, 4 Mg 3.33
4 Li 0.0000 0.0000 0.0000  4 Gd 3.33, 4 Pr 3.33



Material: ZrSbI2N
Method: DFT, PBE
State: optimized geometry

relative energy among the computed polymorphs	4.01	eV per formula unit
E_form (uncorrected)	0.854	eV per atom
magnetization	0.451	μB per atom
uncorrected energy	-3.966	eV per atom

Cell lengths 6.1718, 6.1718, 3.9423 Å; angles 90.00, 90.00, 90.00 degrees
Closest atoms and distances in Å follow each position.
Sites, in units of the cell vectors:
1 I 0.0000 0.5000 0.0000  2 Sb 3.09
2 I 0.5000 0.0000 0.0000  2 Sb 3.09
3 Sb 0.0000 0.0000 0.0000  2 N 1.97
4 Zr 0.5000 0.5000 0.5000  8 I 3.66, 2 Zr 3.94
5 N 0.0000 0.0000 0.5000  2 Sb 1.97



Material: BaNiN
Method: DFT, PBE
State: optimized geometry

E_form (uncorrected)	0.070	eV per atom
magnetization	0.041	μB per atom
uncorrected energy	-5.274	eV per atom

Cell lengths 4.4517, 3.5994, 3.5994 Å; angles 120.00, 90.00, 90.00 degrees
Closest atoms and distances in Å follow each position.
Sites, in units of the cell vectors:
1 Ni 0.1667 0.0000 0.0000  3 N 2.08
2 Ba 0.6667 0.3333 0.6667  6 N 3.04-3.05, 6 Ni 3.05
3 N 0.1666 0.6667 0.3333  3 Ni 2.08



Material: Tb8Nd2Tm3
Method: DFT, PBE
State: optimized geometry

ΔH_f (0 K)	2.83	eV/f.u.
relative energy among the computed polymorphs	0.14	eV per formula unit
magnetization	0.000	μB per atom
uncorrected energy	-4.397	eV per atom

Cell lengths 6.8082, 9.5192, 9.5192 Å; angles 57.38, 61.88, 61.88 degrees
Closest atoms and distances in Å follow each position.
Sites, in units of the cell vectors:
1 Tb 0.0606 0.5819 0.5819  6 Tb 3.25-3.64, 2 Tm 3.42, 1 Nd 3.43
2 Tb 0.9394 0.4181 0.4181  6 Tb 3.25-3.64, 2 Tm 3.42, 1 Nd 3.43
3 Tb 0.0080 0.1888 0.1888  1 Tm 3.13, 2 Nd 3.34-3.51, 2 Tb 3.46
4 Tb 0.9920 0.8112 0.8112  1 Tm 3.13, 2 Nd 3.34-3.51, 2 Tb 3.46
5 Tb 0.5584 0.5651 0.2001  5 Tb 3.34-3.64, 2 Tm 3.40-3.47, 2 Nd 3.42-3.51
6 Tb 0.5584 0.2001 0.5651  5 Tb 3.34-3.64, 2 Tm 3.40-3.47, 2 Nd 3.42-3.51
7 Tb 0.4416 0.7999 0.4349  5 Tb 3.34-3.64, 2 Tm 3.40-3.47, 2 Nd 3.42-3.51
8 Tb 0.4416 0.4349 0.7999  5 Tb 3.34-3.64, 2 Tm 3.40-3.47, 2 Nd 3.42-3.51
9 Nd 0.4849 0.2156 0.2156  7 Tb 3.34-3.51, 1 Tm 3.55
10 Nd 0.5151 0.7844 0.7844  7 Tb 3.34-3.51, 1 Tm 3.55
11 Tm 0.5000 0.0000 0.0000  6 Tb 3.13-3.40
12 Tm 0.0000 0.1714 0.8286  1 Tm 3.13, 4 Tb 3.42-3.47
13 Tm 0.0000 0.8286 0.1714  1 Tm 3.13, 4 Tb 3.42-3.47



Material: LaPuPaO6
Method: DFT, PBE
State: optimized geometry

E_form (uncorrected)	-3.244	eV per atom
magnetization	0.444	μB per atom
uncorrected energy	-9.745	eV per atom

Cell lengths 4.7526, 5.9004, 5.9004 Å; angles 120.00, 90.00, 90.00 degrees
Closest atoms and distances in Å follow each position.
Sites, in units of the cell vectors:
1 La 0.5000 0.6667 0.3333  6 O 2.43
2 Pu 0.5000 0.0000 0.0000  6 O 2.25
3 Pa 0.0000 0.3333 0.6667  6 O 2.22
4 O 0.7466 0.6608 0.6903  1 Pa 2.22, 1 Pu 2.25, 1 La 2.43
5 O 0.7466 0.3097 0.9705  1 Pa 2.22, 1 Pu 2.25, 1 La 2.43
6 O 0.7466 0.0295 0.3392  1 Pa 2.22, 1 Pu 2.25, 1 La 2.43
7 O 0.2534 0.3097 0.3392  1 Pa 2.22, 1 Pu 2.25, 1 La 2.43
8 O 0.2534 0.6608 0.9705  1 Pa 2.22, 1 Pu 2.25, 1 La 2.43
9 O 0.2534 0.0295 0.6903  1 Pa 2.22, 1 Pu 2.25, 1 La 2.43



Material: TlIr6S8
Method: DFT, PBE
State: optimized geometry

E_form (uncorrected)	-0.086	eV per atom
magnetization	0.000	μB per atom
uncorrected energy	-5.990	eV per atom

Cell lengths 6.5506, 6.5506, 6.5506 Å; angles 90.60, 90.60, 90.60 degrees
Closest atoms and distances in Å follow each position.
Sites, in units of the cell vectors:
1 Tl 0.0000 0.0000 0.0000  8 S 2.89-3.15
2 Ir 0.5938 0.4271 0.8152  5 S 2.33-2.55
3 Ir 0.4271 0.8152 0.5938  5 S 2.33-2.55
4 Ir 0.8152 0.5938 0.4271  5 S 2.33-2.55
5 Ir 0.4062 0.5729 0.1848  5 S 2.33-2.55
6 Ir 0.5729 0.1848 0.4062  5 S 2.33-2.55
7 Ir 0.1848 0.4062 0.5729  5 S 2.33-2.55
8 S 0.7428 0.7428 0.7428  3 Ir 2.33
9 S 0.2572 0.2572 0.2572  3 Ir 2.33
10 S 0.6284 0.8581 0.2656  4 Ir 2.35-2.55
11 S 0.8581 0.2656 0.6284  4 Ir 2.35-2.55
12 S 0.2656 0.6284 0.8581  4 Ir 2.35-2.55
13 S 0.3716 0.1419 0.7344  4 Ir 2.35-2.55
14 S 0.1419 0.7344 0.3716  4 Ir 2.35-2.55
15 S 0.7344 0.3716 0.1419  4 Ir 2.35-2.55



Material: NaU3S4
Method: DFT, PBE
State: optimized geometry

E_form (uncorrected)	-1.321	eV per atom
magnetization	0.977	μB per atom
uncorrected energy	-7.783	eV per atom

Cell lengths 3.8063, 6.8116, 6.8117 Å; angles 71.99, 90.00, 90.00 degrees
Closest atoms and distances in Å follow each position.
Sites, in units of the cell vectors:
1 Na 0.5000 0.5002 0.9999  6 S 2.74-2.77
2 S 0.0000 0.7515 0.7486  4 U 2.75-2.76, 2 Na 2.77
3 S 0.5000 0.7490 0.2490  1 Na 2.74, 5 U 2.76-2.77
4 S 0.0000 0.2488 0.2513  4 U 2.75-2.76, 2 Na 2.77
5 S 0.4999 0.2511 0.7510  1 Na 2.74, 5 U 2.76-2.77
6 U 0.5000 0.0002 0.4999  6 S 2.75-2.77
7 U 0.9999 0.0001 0.0000  6 S 2.76
8 U 0.9999 0.5001 0.5000  6 S 2.76



Material: Na2LiSc
Method: DFT, PBE
State: optimized geometry

ΔH_f (0 K)	1.80	eV/f.u.
relative energy among the computed polymorphs	0.00	eV per formula unit
magnetization	0.000	μB per atom
uncorrected energy	-2.270	eV per atom

Cell lengths 5.4325, 5.4325, 5.4325 Å; angles 60.00, 60.00, 60.00 degrees
Closest atoms and distances in Å follow each position.
Sites, in units of the cell vectors:
1 Sc 0.5000 0.5000 0.5000  8 Na 3.33
2 Na 0.2500 0.2500 0.2500  4 Sc 3.33, 4 Li 3.33
3 Na 0.7500 0.7500 0.7500  4 Sc 3.33, 4 Li 3.33
4 Li 0.0000 0.0000 0.0000  8 Na 3.33



Look up the uncorrected energy of the second one. -3.966 eV per atom



Among the records above, which one has the highest magnetization? LiPrGdMg



Number 5 is which compound? LaPuPaO6



Which formula does entry 6 have? TlIr6S8